Entry from Alexandria: an optimized crystal structure of UCu2Sb2 (GGA-PBE).

M_tot	5.00	μB/cell
energy relative to the elements, uncorrected	-0.1411	eV/atom
DOS(E_F)	15.28	states/eV/cell
space group	Cmcm

```
10
Lattice="2.1520 -10.8749 0.0000 2.1520 10.8749 0.0000 0.0000 0.0000 4.3599" Properties=species:S:1:pos:R:3 pbc="T T T"
U 2.1520 7.8578 3.2699
U 2.1520 -7.8578 1.0900
Cu 2.1520 10.2361 1.0900
Cu 2.1520 0.6738 1.0900
Cu 2.1520 -0.6738 3.2699
Cu 2.1520 -10.2361 3.2699
Sb 2.1520 5.4422 1.0900
Sb 2.1520 2.2804 3.2699
Sb 2.1520 -2.2804 1.0900
Sb 2.1520 -5.4422 3.2699
```

***

Entry from Alexandria: an optimized crystal structure of LaCo5P2 (GGA-PBE).

M_tot	0.00	μB/cell
energy relative to the elements	-0.588	eV/atom
DOS(E_F)	8.40	states/eV/cell
space group	Immm

```
8
Lattice="-1.8131 3.2085 4.5307 1.8131 -3.2085 4.5307 1.8131 3.2085 -4.5307" Properties=species:S:1:pos:R:3 pbc="T T T"
La 0.0000 0.0000 0.0000
Co 1.8131 1.9904 -1.3869
Co 1.8131 1.9904 1.3869
Co 0.0000 3.2085 0.0000
Co 0.0000 1.2181 3.1437
Co 0.0000 1.2181 5.9176
P 1.8131 0.0000 2.3840
P 0.0000 3.2085 2.1467
```

***

Entry from Alexandria: an optimized crystal structure of Tl11Sn4 (GGA-PBE).

M_tot	0.00	μB/cell
energy relative to the elements	0.048	eV/atom
DOS(E_F)	13.04	states/eV/cell
space group	P4_2/mnm

```
30
Lattice="12.0389 0.0000 0.0000 0.0000 12.0389 0.0000 0.0000 0.0000 6.3452" Properties=species:S:1:pos:R:3 pbc="T T T"
Tl 0.0000 0.0000 0.0000
Tl 0.7554 3.2470 0.0000
Tl 1.2483 1.2483 3.1726
Tl 2.2300 9.8088 1.5923
Tl 2.2300 9.8088 4.7529
Tl 2.7724 6.7749 3.1726
Tl 3.2470 0.7554 0.0000
Tl 3.7894 3.7894 1.5803
Tl 3.7894 3.7894 4.7649
Tl 4.7711 7.2678 0.0000
Tl 5.2640 9.2664 3.1726
Tl 6.0194 6.0194 3.1726
Tl 6.7749 2.7724 3.1726
Tl 7.2678 4.7711 0.0000
Tl 8.2495 8.2495 1.5803
Tl 8.2495 8.2495 4.7649
Tl 8.7919 11.2834 0.0000
Tl 9.2664 5.2640 3.1726
Tl 9.8088 2.2300 1.5923
Tl 9.8088 2.2300 4.7529
Tl 10.7905 10.7905 3.1726
Tl 11.2834 8.7919 0.0000
Sn 0.4085 4.5207 3.1726
Sn 1.4988 6.4280 0.0000
Sn 4.5207 0.4085 3.1726
Sn 5.6109 10.5401 0.0000
Sn 6.4280 1.4988 0.0000
Sn 7.5182 11.6303 3.1726
Sn 10.5401 5.6109 0.0000
Sn 11.6303 7.5182 3.1726
```

***

Entry from Alexandria: an optimized crystal structure of Ti2AlIn2 (GGA-PBE).

M_tot	0.00	μB/cell
energy relative to the elements	0.286	eV/atom
DOS(E_F)	3.29	states/eV/cell
distance to the lowest polymorph of the same formula	0.301	eV per atom
space group	I4/mmm

```
5
Lattice="-2.0131 2.0131 6.4156 2.0131 -2.0131 6.4156 2.0131 2.0131 -6.4156" Properties=species:S:1:pos:R:3 pbc="T T T"
Ti 0.0000 0.0000 1.0304
Ti 0.0000 0.0000 11.8009
Al 0.0000 0.0000 6.4156
In 2.0131 0.0000 3.2078
In 0.0000 2.0131 3.2078
```

***

Entry from Alexandria: an optimized crystal structure of Cd3InPb (GGA-PBE).

M_tot	0.00	μB/cell
energy relative to the elements	0.053	eV/atom
DOS(E_F)	6.92	states/eV/cell
distance to the lowest polymorph of the same formula	0.000	eV per atom
space group	P2_1/c

```
20
Lattice="9.6026 0.0000 0.0000 0.0000 5.9003 0.0000 -1.7889 0.0000 9.2731" Properties=species:S:1:pos:R:3 pbc="T T T"
Cd 1.5943 0.2298 0.1912
Cd 0.6999 2.7203 4.8277
Cd 2.5458 3.3314 0.9232
Cd 1.6514 5.5190 5.5597
Cd 2.5966 1.1036 2.9725
Cd 1.7021 1.8465 7.6091
Cd 6.1116 4.0537 1.6641
Cd 5.2172 4.7967 6.3007
Cd 6.1624 0.3812 3.7134
Cd 5.2679 2.5689 8.3500
Cd 7.1138 3.1799 4.4454
Cd 6.2194 5.6705 9.0820
In 3.6416 4.1312 3.6043
In 2.7472 4.7192 8.2408
In 5.0665 1.1810 1.0323
In 4.1721 1.7691 5.6689
Pb -1.2287 3.4204 7.6774
Pb -0.3343 5.4300 3.0408
Pb 8.1480 0.4703 6.2324
Pb 9.0424 2.4798 1.5958
```

***

Entry from Alexandria: an optimized crystal structure of HfSi3Tc (GGA-PBE).

M_tot	4.55	μB/cell
energy relative to the elements, uncorrected	1.4404	eV/atom
DOS(E_F)	4.73	states/eV/cell
distance to the lowest polymorph of the same formula	0.873	eV per atom
space group	Pm-3m

```
5
Lattice="4.9680 0.0000 0.0000 0.0000 4.9680 0.0000 0.0000 0.0000 4.9680" Properties=species:S:1:pos:R:3 pbc="T T T"
Hf 0.0000 0.0000 0.0000
Si 0.0000 0.0000 2.4840
Si 0.0000 2.4840 0.0000
Si 2.4840 0.0000 0.0000
Tc 2.4840 2.4840 2.4840
```